Computed, not measured: crystalline BaMn2H at its relaxed geometry at the PBE-GGA level of DFT.

Geometry as extended XYZ:
```
8
Lattice="5.8594 0.0000 0.0000 0.0000 5.8594 0.0000 2.9297 2.9297 4.1374" Properties=species:S:1:pos:R:3 pbc="T T T"
Ba 5.8594 2.9297 2.0687
Ba 0.0000 0.0000 0.0000
H 2.9297 5.8594 2.0687
H 2.9297 2.9297 0.0000
Mn 2.9297 1.4648 1.0343
Mn 4.3945 5.8594 3.1030
Mn 7.3242 5.8594 3.1030
Mn 2.9297 4.3945 1.0343
```

Values from the calculation:
Final energy in eV/atom: -5.475
Volume in Å³/atom: 17.76

---

Computed, not measured: crystalline BaMnH6 at its relaxed geometry at the PBE-GGA level of DFT.

Geometry as extended XYZ:
```
8
Lattice="4.5434 0.0845 -0.6241 -0.7914 4.4705 -0.8036 0.0286 0.2973 4.6009" Properties=species:S:1:pos:R:3 pbc="T T T"
H -0.2379 3.5713 2.7938
H 4.0186 1.2810 0.3794
H 2.7975 3.3969 -0.7511
H 0.9832 1.4554 3.9243
H 0.4304 4.2686 0.2811
H 3.3503 0.5837 2.8921
Mn 0.0000 0.0000 0.0000
Ba 1.8903 2.4262 1.5866
```

Values from the calculation:
Final energy in eV/atom: -4.000
Volume in Å³/atom: 11.88

---

Computed, not measured: crystalline Ba3Mn5H12 at its relaxed geometry at the PBE-GGA level of DFT.

Geometry as extended XYZ:
```
80
Lattice="11.0633 0.0000 0.0000 -3.6878 10.4306 0.0000 -3.6878 -5.2153 9.0332" Properties=species:S:1:pos:R:3 pbc="T T T"
H 0.2378 3.1115 3.6171
H -0.8116 -2.7057 6.1188
H 7.6133 -2.0806 5.4026
H 3.4500 -4.1844 9.0198
H -1.0323 6.3863 3.8004
H -3.9255 7.2959 3.6305
H 4.5213 1.3463 8.1337
H -2.6555 2.5096 2.9143
H -1.4074 -0.7498 4.5300
H 6.5420 -0.1058 7.4175
H 2.0817 4.1844 9.0198
H -2.6555 9.0920 0.8861
H 2.2804 9.4901 1.6023
H 6.3433 -3.8767 8.1471
H 4.6981 5.1095 1.6157
H -2.8543 5.3211 1.6157
H 1.6061 1.0308 0.0134
H 3.4500 2.1038 5.4160
H 2.8761 4.0443 3.8004
H -3.2512 4.4655 4.5032
H 1.4073 -4.2748 7.4309
H 0.2378 9.3997 0.0134
H -0.8335 3.8690 0.8994
H 6.9390 0.7498 4.5300
H -0.8116 3.8767 8.1471
H 5.7694 3.1347 3.6305
H 4.4994 7.9210 2.9143
H 6.3433 2.7057 6.1188
H -0.8335 6.6674 0.7162
H 4.1243 4.2748 7.4309
H 5.0951 5.9651 4.5032
H 4.7200 -1.1710 5.2328
H 2.0817 -2.1038 5.4160
H 4.4994 1.3386 0.8861
H 1.6061 7.3191 3.6171
H 1.4074 3.5250 6.1322
H -0.4365 0.9405 1.6023
H -2.0817 2.0806 5.4026
H 1.0104 1.4521 8.3169
H 2.6774 6.5616 0.8994
H 4.5213 -1.4521 8.3169
H 4.1243 -3.5250 6.1322
H 0.8116 1.1710 5.2328
H -0.4365 8.7403 2.9009
H 2.6774 3.7632 0.7162
H 1.0104 -1.3463 8.1337
H -1.0104 0.1058 7.4175
H 2.2804 1.6903 2.9009
Mn -3.6878 2.6076 4.5166
Mn 4.6097 4.5634 3.3874
Mn 1.8439 2.6076 4.5166
Mn 6.4536 -0.6519 5.6457
Mn 2.7658 1.9557 1.1291
Mn 3.6878 5.2153 0.0000
Mn -0.9219 2.6076 2.2583
Mn 4.6097 -3.2596 7.9040
Mn -1.8439 5.2153 0.0000
Mn -0.9219 8.4749 1.1291
Mn 0.9219 -2.6076 6.7749
Mn -0.9219 0.6519 5.6457
Mn -1.8439 -2.6076 4.5166
Mn 0.0000 0.0000 0.0000
Mn 5.5317 0.0000 0.0000
Mn -2.7658 5.8672 3.3874
Mn 0.9219 3.2596 7.9040
Mn 3.6878 -2.6076 4.5166
Mn 2.7658 7.8229 2.2583
Mn 4.6097 2.6076 6.7749
Ba 2.7658 0.0000 6.7749
Ba 6.4536 7.1710 1.1291
Ba 0.9219 -0.6519 3.3874
Ba 6.4536 3.2596 1.1291
Ba -4.6097 5.2153 6.7749
Ba -0.9219 4.5634 5.6457
Ba -2.7658 1.9557 7.9040
Ba 0.9219 5.2153 2.2583
Ba 2.7658 5.8672 5.6457
Ba 8.2975 0.0000 2.2583
Ba 4.6097 0.6519 3.3874
Ba -2.7658 -1.9557 7.9040
```

Values from the calculation:
Final energy in eV/atom: -4.545
Volume in Å³/atom: 13.03